Entry from the Alexandria database: an optimized crystal structure of Pr6Ag3H (PBE).

Cell: 6.590 8.288 11.764 Å, 90.00 119.26 90.00°
Positions (direct):
Pr1 0.072 0.059 0.239
Pr2 0.072 0.441 0.739
Pr3 0.188 0.719 0.064
Pr4 0.188 0.781 0.564
Pr5 0.391 0.151 0.046
Pr6 0.391 0.349 0.546
Pr7 0.609 0.651 0.454
Pr8 0.609 0.849 0.954
Pr9 0.812 0.219 0.436
Pr10 0.812 0.281 0.936
Pr11 0.928 0.559 0.261
Pr12 0.928 0.941 0.761
Ag1 0.329 0.106 0.727
Ag2 0.329 0.394 0.227
Ag3 0.500 0.000 0.500
Ag4 0.500 0.500 0.000
Ag5 0.671 0.606 0.773
Ag6 0.671 0.894 0.273
H1 0.000 0.000 0.000
H2 0.000 0.500 0.500

## Properties
Total DFT energy (no corrections) ... -83.4 eV/cell

***

Entry from the Alexandria database: an optimized crystal structure of Pr12Ag6H (PBE).

Cell: 8.303 8.303 8.303 Å, 94.63 94.63 94.63°
Positions (direct):
Pr1 0.037 0.923 0.693
Pr2 0.077 0.307 0.963
Pr3 0.194 0.416 0.537
Pr4 0.307 0.963 0.077
Pr5 0.416 0.537 0.194
Pr6 0.463 0.806 0.584
Pr7 0.537 0.194 0.416
Pr8 0.584 0.463 0.806
Pr9 0.693 0.037 0.923
Pr10 0.806 0.584 0.463
Pr11 0.923 0.693 0.037
Pr12 0.963 0.077 0.307
Ag1 0.150 0.752 0.353
Ag2 0.248 0.647 0.850
Ag3 0.353 0.150 0.752
Ag4 0.647 0.850 0.248
Ag5 0.752 0.353 0.150
Ag6 0.850 0.248 0.647
H1 0.500 0.500 0.500

## Properties
Total DFT energy (no corrections) ... -79.3 eV/cell

***

Entry from the Alexandria database: an optimized crystal structure of Pr12Ag3H5 (PBE).

Cell: 13.926 13.926 13.926 Å, 109.47 109.47 109.47°
Positions (direct):
Pr1 0.017 0.209 0.111
Pr2 0.017 0.308 0.906
Pr3 0.094 0.611 0.402
Pr4 0.094 0.983 0.692
Pr5 0.098 0.709 0.692
Pr6 0.098 0.889 0.406
Pr7 0.111 0.017 0.209
Pr8 0.111 0.594 0.902
Pr9 0.192 0.209 0.598
Pr10 0.192 0.483 0.594
Pr11 0.209 0.111 0.017
Pr12 0.209 0.598 0.192
Pr13 0.291 0.308 0.902
Pr14 0.291 0.483 0.389
Pr15 0.308 0.902 0.291
Pr16 0.308 0.906 0.017
Pr17 0.389 0.291 0.483
Pr18 0.389 0.598 0.906
Pr19 0.402 0.094 0.611
Pr20 0.402 0.808 0.791
Pr21 0.406 0.098 0.889
Pr22 0.406 0.808 0.517
Pr23 0.483 0.389 0.291
Pr24 0.483 0.594 0.192
Pr25 0.517 0.406 0.808
Pr26 0.517 0.611 0.709
Pr27 0.594 0.192 0.483
Pr28 0.594 0.902 0.111
Pr29 0.598 0.192 0.209
Pr30 0.598 0.906 0.389
Pr31 0.611 0.402 0.094
Pr32 0.611 0.709 0.517
Pr33 0.692 0.094 0.983
Pr34 0.692 0.098 0.709
Pr35 0.709 0.517 0.611
Pr36 0.709 0.692 0.098
Pr37 0.791 0.402 0.808
Pr38 0.791 0.889 0.983
Pr39 0.808 0.517 0.406
Pr40 0.808 0.791 0.402
Pr41 0.889 0.406 0.098
Pr42 0.889 0.983 0.791
Pr43 0.902 0.111 0.594
Pr44 0.902 0.291 0.308
Pr45 0.906 0.017 0.308
Pr46 0.906 0.389 0.598
Pr47 0.983 0.692 0.094
Pr48 0.983 0.791 0.889
Ag1 0.125 0.250 0.375
Ag2 0.125 0.375 0.750
Ag3 0.250 0.375 0.125
Ag4 0.250 0.875 0.625
Ag5 0.375 0.125 0.250
Ag6 0.375 0.750 0.125
Ag7 0.625 0.250 0.875
Ag8 0.625 0.875 0.750
Ag9 0.750 0.125 0.375
Ag10 0.750 0.625 0.875
Ag11 0.875 0.625 0.250
Ag12 0.875 0.750 0.625
H1 0.000 0.000 0.000
H2 0.000 0.000 0.500
H3 0.000 0.500 0.000
H4 0.000 0.500 0.500
H5 0.125 0.750 0.875
H6 0.125 0.875 0.250
H7 0.250 0.125 0.875
H8 0.250 0.625 0.375
H9 0.375 0.250 0.625
H10 0.375 0.625 0.750
H11 0.500 0.000 0.000
H12 0.500 0.000 0.500
H13 0.500 0.500 0.000
H14 0.500 0.500 0.500
H15 0.625 0.375 0.250
H16 0.625 0.750 0.375
H17 0.750 0.375 0.625
H18 0.750 0.875 0.125
H19 0.875 0.125 0.750
H20 0.875 0.250 0.125

## Properties
Total DFT energy (no corrections) ... -345.9 eV/cell

***

Entry from the Alexandria database: an optimized crystal structure of PrAgH (PBE).

Cell: 4.010 4.010 4.506 Å, 90.00 90.00 120.00°
Positions (direct):
Pr1 0.000 0.000 0.000
Ag1 0.333 0.667 0.500
H1 0.667 0.333 0.000

## Properties
ΔE to the lowest computed polymorph ... 0 kJ/mol of formula units
Total DFT energy (no corrections) ... -11.5 eV/cell

***

Entry from the Alexandria database: an optimized crystal structure of Pr3Ag5H12 (PBE).

Cell: 10.909 10.909 10.909 Å, 109.47 109.47 109.47°
Positions (direct):
Pr1 0.125 0.250 0.375
Pr2 0.125 0.375 0.750
Pr3 0.250 0.375 0.125
Pr4 0.250 0.875 0.625
Pr5 0.375 0.125 0.250
Pr6 0.375 0.750 0.125
Pr7 0.625 0.250 0.875
Pr8 0.625 0.875 0.750
Pr9 0.750 0.125 0.375
Pr10 0.750 0.625 0.875
Pr11 0.875 0.625 0.250
Pr12 0.875 0.750 0.625
Ag1 0.000 0.000 0.000
Ag2 0.000 0.000 0.500
Ag3 0.000 0.500 0.000
Ag4 0.000 0.500 0.500
Ag5 0.125 0.750 0.875
Ag6 0.125 0.875 0.250
Ag7 0.250 0.125 0.875
Ag8 0.250 0.625 0.375
Ag9 0.375 0.250 0.625
Ag10 0.375 0.625 0.750
Ag11 0.500 0.000 0.000
Ag12 0.500 0.000 0.500
Ag13 0.500 0.500 0.000
Ag14 0.500 0.500 0.500
Ag15 0.625 0.375 0.250
Ag16 0.625 0.750 0.375
Ag17 0.750 0.375 0.625
Ag18 0.750 0.875 0.125
Ag19 0.875 0.125 0.750
Ag20 0.875 0.250 0.125
H1 0.033 0.212 0.127
H2 0.033 0.321 0.906
H3 0.085 0.712 0.679
H4 0.085 0.873 0.406
H5 0.094 0.627 0.415
H6 0.094 0.967 0.679
H7 0.127 0.033 0.212
H8 0.127 0.594 0.915
H9 0.179 0.212 0.585
H10 0.179 0.467 0.594
H11 0.212 0.127 0.033
H12 0.212 0.585 0.179
H13 0.288 0.321 0.915
H14 0.288 0.467 0.373
H15 0.321 0.906 0.033
H16 0.321 0.915 0.288
H17 0.373 0.288 0.467
H18 0.373 0.585 0.906
H19 0.406 0.085 0.873
H20 0.406 0.821 0.533
H21 0.415 0.094 0.627
H22 0.415 0.821 0.788
H23 0.467 0.373 0.288
H24 0.467 0.594 0.179
H25 0.533 0.406 0.821
H26 0.533 0.627 0.712
H27 0.585 0.179 0.212
H28 0.585 0.906 0.373
H29 0.594 0.179 0.467
H30 0.594 0.915 0.127
H31 0.627 0.415 0.094
H32 0.627 0.712 0.533
H33 0.679 0.085 0.712
H34 0.679 0.094 0.967
H35 0.712 0.533 0.627
H36 0.712 0.679 0.085
H37 0.788 0.415 0.821
H38 0.788 0.873 0.967
H39 0.821 0.533 0.406
H40 0.821 0.788 0.415
H41 0.873 0.406 0.085
H42 0.873 0.967 0.788
H43 0.906 0.033 0.321
H44 0.906 0.373 0.585
H45 0.915 0.127 0.594
H46 0.915 0.288 0.321
H47 0.967 0.679 0.094
H48 0.967 0.788 0.873

## Properties
Total DFT energy (no corrections) ... -286.7 eV/cell

***

Entry from the Alexandria database: an optimized crystal structure of PrAgH6Pt2 (PBE).

Cell: 5.920 5.920 5.920 Å, 48.07 48.07 48.07°
Positions (direct):
Pr1 0.000 0.000 0.000
Ag1 0.500 0.500 0.500
H1 0.057 0.564 0.564
H2 0.436 0.436 0.943
H3 0.436 0.943 0.436
H4 0.564 0.057 0.564
H5 0.564 0.564 0.057
H6 0.943 0.436 0.436
Pt1 0.213 0.213 0.213
Pt2 0.787 0.787 0.787

## Properties
Total DFT energy (no corrections) ... -42.4 eV/cell

***

Entry from the Alexandria database: an optimized crystal structure of PrAgH6Rh (PBE).

Cell: 4.810 4.810 4.410 Å, 90.00 90.00 120.00°
Positions (direct):
Pr1 0.000 0.000 0.000
Ag1 0.333 0.667 0.500
H1 0.519 0.037 0.229
H2 0.519 0.037 0.771
H3 0.519 0.481 0.229
H4 0.519 0.481 0.771
H5 0.963 0.481 0.229
H6 0.963 0.481 0.771
Rh1 0.667 0.333 0.500

## Properties
Total DFT energy (no corrections) ... -37.4 eV/cell

***

Entry from the Alexandria database: an optimized crystal structure of PrAgH8Rh2 (PBE).

Cell: 6.141 6.141 6.141 Å, 47.43 47.43 47.43°
Positions (direct):
Pr1 0.000 0.000 0.000
Ag1 0.500 0.500 0.500
H1 0.093 0.406 0.863
H2 0.137 0.907 0.594
H3 0.307 0.307 0.307
H4 0.406 0.863 0.093
H5 0.594 0.137 0.907
H6 0.693 0.693 0.693
H7 0.863 0.093 0.406
H8 0.907 0.594 0.137
Rh1 0.204 0.204 0.204
Rh2 0.796 0.796 0.796

## Properties
Total DFT energy (no corrections) ... -51.2 eV/cell

***

Entry from the Alexandria database: an optimized crystal structure of PrAgH6Ru (PBE).

Cell: 4.850 4.850 4.370 Å, 90.00 90.00 120.00°
Positions (direct):
Pr1 0.000 0.000 0.000
Ag1 0.667 0.333 0.500
H1 0.045 0.522 0.225
H2 0.045 0.522 0.775
H3 0.478 0.522 0.225
H4 0.478 0.522 0.775
H5 0.478 0.955 0.225
H6 0.478 0.955 0.775
Ru1 0.333 0.667 0.500

## Properties
Total DFT energy (no corrections) ... -38.7 eV/cell

***

Entry from the Alexandria database: an optimized crystal structure of PrAgSbH (PBE).

Cell: 4.360 4.360 8.361 Å, 90.00 90.00 90.00°
Positions (direct):
Pr1 0.250 0.250 0.144
Pr2 0.750 0.750 0.856
Ag1 0.250 0.750 0.500
Ag2 0.750 0.250 0.500
Sb1 0.250 0.250 0.723
Sb2 0.750 0.750 0.277
H1 0.250 0.750 0.000
H2 0.750 0.250 0.000

## Properties
Total DFT energy (no corrections) ... -35.1 eV/cell

***

Entry from the Alexandria database: an optimized crystal structure of Ag2H2Pt (PBE).

Cell: 4.330 5.027 6.858 Å, 94.72 106.37 114.72°
Positions (direct):
Ag1 0.103 0.000 0.228
Ag2 0.281 0.648 0.911
Ag3 0.719 0.352 0.089
Ag4 0.897 0.000 0.772
H1 0.247 0.489 0.507
H2 0.420 0.051 0.776
H3 0.580 0.949 0.224
H4 0.753 0.511 0.493
Pt1 0.491 0.664 0.349
Pt2 0.509 0.336 0.651

## Properties
ΔE to the lowest computed polymorph ... 6 kJ/mol of formula units
Total DFT energy (no corrections) ... -35.9 eV/cell

***

Entry from the Alexandria database: an optimized crystal structure of Ag2H2Pt (PBE).

Cell: 6.703 6.703 6.703 Å, 153.80 153.80 37.38°
Positions (direct):
Ag1 0.150 0.150 0.000
Ag2 0.850 0.850 0.000
H1 0.250 0.750 0.500
H2 0.750 0.250 0.500
Pt1 0.500 0.500 0.000

## Properties
ΔE to the lowest computed polymorph ... 152 kJ/mol of formula units
Total DFT energy (no corrections) ... -16.4 eV/cell